1.
Compound: LiNbSn3
Source: Alexandria via LeMat-Bulk
Functional: GGA-PBE
Structure: optimized geometry

a = 4.894 Å, b = 4.894 Å, c = 4.894 Å
α = 90.00°, β = 90.00°, γ = 90.00°
Space group Pm-3m (No. 221)
One atom of each set of equivalent atoms:
Li (0.000, 0.000, 0.000) [1 per cell]
Nb (0.500, 0.500, 0.500) [1 per cell]
Sn (0.000, 0.000, 0.500) [3 per cell]

Calculated values
Energy relative to the lowest polymorph listed for this composition = 485 meV per atom
Spin magnetization = 2.67 μB/f.u.


2.
Compound: LiNb3Sn
Source: Alexandria via LeMat-Bulk
Functional: GGA-PBE
Structure: optimized geometry

a = 5.120 Å, b = 5.120 Å, c = 5.120 Å
α = 90.00°, β = 90.00°, γ = 90.00°
Space group Pm-3m (No. 221)
One atom of each set of equivalent atoms:
Li (0.000, 0.000, 0.000) [1 per cell]
Nb (0.000, 0.500, 0.500) [3 per cell]
Sn (0.500, 0.500, 0.500) [1 per cell]

Calculated values
Energy relative to the lowest polymorph listed for this composition = 941 meV per atom
Spin magnetization = 0.00 μB/f.u.


3.
Compound: LiNb2Sn
Source: Alexandria via LeMat-Bulk
Functional: GGA-PBE
Structure: optimized geometry

a = 7.491 Å, b = 7.491 Å, c = 5.384 Å
α = 90.00°, β = 90.00°, γ = 90.00°
Space group I-42d (No. 122)
One atom of each set of equivalent atoms:
Li (0.000, 0.000, 0.000) [4 per cell]
Nb (0.238, 0.250, 0.125) [8 per cell]
Sn (0.000, 0.000, 0.500) [4 per cell]

Calculated values
Spin magnetization = 0.00 μB/f.u.


4.
Compound: Li2NbSn2
Source: Alexandria via LeMat-Bulk
Functional: GGA-PBE
Structure: optimized geometry

a = 7.835 Å, b = 7.835 Å, c = 3.095 Å
α = 90.00°, β = 90.00°, γ = 90.00°
Space group P4/mbm (No. 127)
One atom of each set of equivalent atoms:
Li (0.133, 0.367, 0.000) [4 per cell]
Nb (0.000, 0.000, 0.500) [2 per cell]
Sn (0.166, 0.666, 0.500) [4 per cell]

Calculated values
Energy relative to the lowest polymorph listed for this composition = 0 meV per atom
Spin magnetization = 0.00 μB/f.u.


5.
Compound: Li2NbSn2
Source: Alexandria via LeMat-Bulk
Functional: GGA-PBE
Structure: optimized geometry

a = 3.710 Å, b = 3.710 Å, c = 13.972 Å
α = 90.00°, β = 90.00°, γ = 90.00°
Space group I4/mmm (No. 139)
One atom of each set of equivalent atoms:
Li (0.000, 0.500, 0.250) [4 per cell]
Nb (0.000, 0.000, 0.000) [2 per cell]
Sn (0.000, 0.000, 0.396) [4 per cell]

Calculated values
Energy relative to the lowest polymorph listed for this composition = 27 meV per atom
Spin magnetization = 0.00 μB/f.u.


6.
Compound: LiNbSn3
Source: Alexandria via LeMat-Bulk
Functional: GGA-PBE
Structure: optimized geometry

a = 5.401 Å, b = 5.401 Å, c = 5.401 Å
α = 90.00°, β = 90.00°, γ = 90.00°
Space group Pm-3m (No. 221)
One atom of each set of equivalent atoms:
Li (0.000, 0.000, 0.000) [1 per cell]
Nb (0.500, 0.500, 0.500) [1 per cell]
Sn (0.000, 0.500, 0.500) [3 per cell]

Calculated values
Energy relative to the lowest polymorph listed for this composition = 0 meV per atom
Spin magnetization = 0.00 μB/f.u.


7.
Compound: LiNb3Sn
Source: Alexandria via LeMat-Bulk
Functional: GGA-PBE
Structure: optimized geometry

a = 4.482 Å, b = 4.482 Å, c = 4.482 Å
α = 90.00°, β = 90.00°, γ = 90.00°
Space group Pm-3m (No. 221)
One atom of each set of equivalent atoms:
Li (0.000, 0.000, 0.000) [1 per cell]
Nb (0.000, 0.000, 0.500) [3 per cell]
Sn (0.500, 0.500, 0.500) [1 per cell]

Calculated values
Energy relative to the lowest polymorph listed for this composition = 0 meV per atom
Spin magnetization = 0.00 μB/f.u.


8.
Compound: Li2NbSn
Source: Alexandria via LeMat-Bulk
Functional: GGA-PBE
Structure: optimized geometry

a = 7.389 Å, b = 7.389 Å, c = 5.570 Å
α = 90.00°, β = 90.00°, γ = 90.00°
Space group I-42d (No. 122)
One atom of each set of equivalent atoms:
Li (0.238, 0.250, 0.125) [8 per cell]
Nb (0.000, 0.000, 0.500) [4 per cell]
Sn (0.000, 0.000, 0.000) [4 per cell]

Calculated values
Spin magnetization = 1.05 μB/f.u.


DOS(E_F) for the records above, in order: 4.49; 2.12; 16.59; 4.07; 8.05; 1.75; 1.55; 10.45 states/eV/cell
DFT formation energy for the records above, in order: 65.7; 159.2; 43.0; -5.7; -3.1; 18.9; 68.4; 40.4 kJ per mole of atoms
VASP energy for the records above, in order: -4.117; -5.575; -6.069; -4.439; -4.412; -4.602; -6.516; -4.056 eV/atom